No. 1
DFT (PBE) results for crystalline La3Nd2Sn2 at its relaxed geometry.

abc: 8.8176 8.8176 8.2951
angles: 116.04 116.04 23.71
Last column: nearest neighbours and their distance in Å.
Fractional positions:
La 0.0000 0.0000 0.0000  4 La 3.26-3.62, 4 Sn 3.35, 2 Nd 3.50
La 0.2095 0.2095 0.1443  3 La 3.26-3.62, 3 Sn 3.38-3.43
La 0.7905 0.7905 0.8557  3 La 3.26-3.62, 3 Sn 3.38-3.43
Nd 0.1112 0.1112 0.4722  4 Sn 3.29-3.49, 1 La 3.50, 2 Nd 3.62
Nd 0.8888 0.8888 0.5278  4 Sn 3.29-3.49, 1 La 3.50, 2 Nd 3.62
Sn 0.4206 0.4206 0.2321  4 Nd 3.29-3.49, 5 La 3.35-3.43, 2 Sn 3.62
Sn 0.5794 0.5794 0.7679  4 Nd 3.29-3.49, 5 La 3.35-3.43, 2 Sn 3.62

Computed properties:
DFT total energy	-4.94	eV per atom
ΔH_f (0 K)	-0.33	eV per atom
N(E_F)	8.3	states/eV per cell

=====

No. 2
DFT (PBE) results for crystalline CePrSe2N at its relaxed geometry.

abc: 4.0801 4.0801 15.0758
angles: 90.00 90.00 90.00
Last column: nearest neighbours and their distance in Å.
Fractional positions:
Ce 0.2500 0.2500 0.0726  4 N 2.32
Ce 0.7500 0.7500 0.9274  4 N 2.32
Pr 0.2500 0.2500 0.6336  5 Se 2.76-2.97
Pr 0.7500 0.7500 0.3664  5 Se 2.76-2.97
Se 0.2500 0.2500 0.4122  4 Pr 2.97
Se 0.2500 0.2500 0.8165  1 Pr 2.76
Se 0.7500 0.7500 0.1835  1 Pr 2.76
Se 0.7500 0.7500 0.5878  4 Pr 2.97
N 0.2500 0.7500 0.0000  4 Ce 2.32
N 0.7500 0.2500 0.0000  4 Ce 2.32

Computed properties:
DFT total energy	-6.88	eV per atom
E_form (uncorrected)	-1683	meV/atom
N(E_F)	1.4	states/eV per cell

=====

No. 3
DFT (PBE) results for crystalline ZrPAu at its relaxed geometry.

abc: 12.2023 12.2023 12.2023
angles: 17.48 17.48 17.48
Last column: nearest neighbours and their distance in Å.
Fractional positions:
Zr 0.0832 0.0832 0.0832  3 P 2.52
Zr 0.9168 0.9168 0.9168  3 P 2.52
P 0.2131 0.2131 0.2131  3 Zr 2.52
P 0.7869 0.7869 0.7869  3 Zr 2.52
Au 0.3601 0.3601 0.3601  3 Au 2.88, 3 Zr 2.95
Au 0.6399 0.6399 0.6399  3 Au 2.88, 3 Zr 2.95

Computed properties:
DFT total energy	-6.08	eV per atom
ΔH_f (0 K)	-0.34	eV per atom
N(E_F)	3.1	states/eV per cell

=====

No. 4
DFT (PBE) results for crystalline OsPtSe2 at its relaxed geometry.

abc: 2.9606 2.9606 8.7072
angles: 90.00 90.00 90.00
Last column: nearest neighbours and their distance in Å.
Fractional positions:
Os 0.0000 0.0000 0.0000  4 Se 2.53
Pt 0.5000 0.5000 0.2217  4 Se 2.80, 4 Os 2.85, 4 Pt 2.96
Se 0.0000 0.0000 0.4356  4 Pt 2.80, 4 Se 2.96
Se 0.5000 0.5000 0.8359  4 Os 2.53

Computed properties:
energy relative to the lowest polymorph listed for this composition	106	meV per atom
DFT total energy	-5.79	eV per atom
E_form (uncorrected)	272	meV/atom
N(E_F)	2.0	states/eV per cell